The following is a DFT calculation (PBE-GGA) of crystalline HoTmTh2Sc at its relaxed geometry.

Structure (POSCAR):
```
HoTmTh2Sc
1.0
8.317 0.000 0.000
0.000 3.439 0.000
-3.896 0.000 10.840
Ho Tm Th Sc
2 2 4 2
Direct
0.199 0.250 0.055
0.801 0.750 0.945
0.050 0.750 0.269
0.950 0.250 0.731
0.414 0.250 0.854
0.441 0.250 0.362
0.559 0.750 0.638
0.586 0.750 0.146
0.187 0.250 0.542
0.813 0.750 0.458
```

Values from the calculation:
**SG**: P2_1/m, No. 11
**Formation energy from the elements**: 3.44 kcal/mol of atoms

=====

The following is a DFT calculation (PBE-GGA) of crystalline YHoThSc at its relaxed geometry.

Structure (POSCAR):
```
YHoThSc
1.0
1.769 1.021 11.090
-1.769 1.021 11.090
0.000 -2.042 11.090
Y Ho Th Sc
1 1 1 1
Direct
0.000 0.000 0.000
0.754 0.754 0.754
0.171 0.171 0.171
0.585 0.585 0.585
```

Values from the calculation:
**SG**: R3m, No. 160
**Formation energy from the elements**: 0.53 kcal/mol of atoms
**Energy above the lowest structure with this stoichiometry**: 0.000 eV/atom

=====

The following is a DFT calculation (PBE-GGA) of crystalline Y2Ho4ThSc at its relaxed geometry.

Structure (POSCAR):
```
Y2Ho4ThSc
1.0
5.799 0.000 0.000
0.000 5.799 0.000
0.000 0.000 7.350
Y Ho Th Sc
2 4 1 1
Direct
0.000 0.000 0.000
0.500 0.500 0.500
0.000 0.500 0.242
0.000 0.500 0.758
0.500 0.000 0.242
0.500 0.000 0.758
0.000 0.000 0.500
0.500 0.500 0.000
```

Values from the calculation:
**SG**: P4/mmm, No. 123
**Formation energy from the elements**: 3.38 kcal/mol of atoms